[1]
4
Lattice="-1.1079 -0.3463 -3.8538 2.7969 -0.2383 -2.8844 0.5892 -4.7408 -1.8451" Properties=species:S:1:pos:R:3 comment="HfGa2Ni (GGA-PBE, relaxed)" sg="R-3m, No. 166" n_ef_per_ev_fu=1.95 pbc="T T T"
Hf 0.0000 0.0000 0.0000
Ga 0.5719 -1.7380 -2.1100
Ga 1.7063 -3.5874 -6.4733
Ni 1.1391 -2.6627 -4.2917

***

[2]
16
Lattice="4.1903 0.0000 0.0000 0.0000 6.0702 0.0000 0.0000 0.0000 8.3797" Properties=species:S:1:pos:R:3 comment="HfGa3Ni4 (GGA-PBE, relaxed)" sg="P4/mmm, No. 123" n_ef_per_ev_fu=4.28 pbc="T T T"
Ni 2.0952 1.4166 0.0000
Ni 2.0952 1.4166 4.1898
Hf 0.0000 3.0351 4.1898
Ga 2.0943 0.0000 2.0949
Hf 0.0000 3.0351 0.0000
Ga 0.0000 0.0000 4.1898
Ni 4.1889 1.4162 2.0949
Ni 0.0014 4.6540 6.2848
Ni 0.0014 1.4162 6.2848
Ga 2.0947 3.0351 2.0949
Ni 2.0952 4.6536 0.0000
Ni 2.0952 4.6536 4.1898
Ga 2.0960 0.0000 6.2848
Ni 4.1889 4.6540 2.0949
Ga 2.0956 3.0351 6.2848
Ga 0.0000 0.0000 0.0000

***

[3]
4
Lattice="3.0038 0.0000 0.0000 0.0000 3.0038 0.0000 0.0000 0.0000 6.7957" Properties=species:S:1:pos:R:3 comment="HfGa2Ni (GGA-PBE, relaxed)" sg="P4/mmm, No. 123" n_ef_per_ev_fu=1.71 pbc="T T T"
Ga 0.0000 0.0000 1.4052
Ni 1.5019 1.5019 0.0000
Ga 0.0000 0.0000 5.3904
Hf 1.5019 1.5019 3.3978

***

[4]
40
Lattice="9.6092 -0.0046 0.0000 -6.1875 7.3520 0.0000 -1.7109 -3.6737 8.7129" Properties=species:S:1:pos:R:3 comment="HfGa2Ni (GGA-PBE, relaxed)" sg="I4mm, No. 107" n_ef_per_ev_fu=1.33 pbc="T T T"
Hf 1.6834 3.6148 0.0000
Ni 0.0562 4.5814 1.8832
Ga -3.5021 2.6642 6.8864
Ga 3.7621 3.7517 4.2994
Ga 4.5311 4.2641 0.0000
Hf 3.5337 1.6796 6.2186
Ni 7.1313 1.3850 0.0000
Ga 1.9529 0.9189 1.3824
Hf -0.9885 3.7856 6.2186
Hf 6.9098 0.1073 2.4943
Ni -3.6124 2.5624 4.3564
Ga -3.6748 4.8530 5.3801
Ga -1.7912 6.3379 1.8265
Hf 4.4508 1.1840 0.0000
Ni 1.8010 3.8673 5.8800
Hf 3.1932 6.8567 0.0000
Ga 0.7286 1.5645 6.4056
Ni -3.5293 6.3496 0.0000
Ga -2.2643 -1.5876 7.3305
Ga 4.2236 1.1747 3.3328
Ga 0.4505 5.2939 4.2994
Hf -4.3647 5.3579 2.4943
Ga 2.4394 5.2382 2.3073
Hf 1.2464 2.6763 3.5349
Ga 6.0794 0.3104 5.3801
Ni 1.7596 -0.6824 6.8297
Ni -1.6547 0.9077 6.8297
Ni 3.4704 2.9913 1.8832
Ni 4.2860 -1.1159 4.3564
Hf -1.9581 4.1687 0.0000
Ga 0.2420 -2.7548 7.3305
Ga 6.0038 2.7077 1.8265
Hf -0.4645 -0.9973 5.1780
Ga -0.5534 2.0861 1.3824
Ga -1.2603 1.6202 4.4135
Ga -1.8190 3.9887 3.3328
Ni 0.0902 0.1936 2.8329
Ga 0.3478 6.2123 0.0000
Ga 2.0512 0.0780 4.4135
Ga 4.2929 -0.9660 6.8864

***

[5]
5
Lattice="-2.5193 -1.5442 -3.7450 -1.4373 -3.7824 2.5265 -3.7873 2.4627 1.5323" Properties=species:S:1:pos:R:3 comment="Hf3GaNi (GGA-PBE, relaxed)" sg="Pm-3m, No. 221" n_ef_per_ev_fu=4.04 de_polymorph_mev_per_atom=0 pbc="T T T"
Hf -1.2596 -0.7721 -1.8725
Ga -3.8719 -1.4320 0.1569
Hf -0.7187 -1.8912 1.2633
Ni 0.0000 0.0000 0.0000
Hf -1.8936 1.2313 0.7661

***

[6]
6
Lattice="2.0837 4.8704 0.0033 -2.0837 4.8704 0.0033 0.0000 4.2096 4.8871" Properties=species:S:1:pos:R:3 comment="Hf2Ga3Ni (GGA-PBE, relaxed)" sg="Cm, No. 8" n_ef_per_ev_fu=2.67 pbc="T T T"
Ga 0.0000 8.6209 0.5316
Ga 0.0000 5.3467 4.1948
Hf 0.0000 5.6979 1.3624
Ni 0.0000 11.1417 3.5381
Hf 0.0000 8.2360 3.4454
Ga 0.0000 2.8083 1.6087

***

[7]
4
Lattice="-2.6630 1.2422 2.7468 1.2925 -2.7554 2.4992 2.6535 2.5372 1.4251" Properties=species:S:1:pos:R:3 comment="HfGa2Ni (GGA-PBE, relaxed)" sg="P4/mmm, No. 123" n_ef_per_ev_fu=1.34 pbc="T T T"
Ga 0.6463 -1.3777 1.2496
Hf 0.6415 0.5120 3.3355
Ni -1.3315 0.6211 1.3734
Ga 1.3267 1.2686 0.7125

***

[8]
14
Lattice="6.3115 0.0000 0.0000 0.0000 6.3115 0.0000 0.0000 0.0000 6.3115" Properties=species:S:1:pos:R:3 comment="HfGa3Ni3 (GGA-PBE, relaxed)" sg="Pm-3n, No. 223" n_ef_per_ev_fu=6.07 pbc="T T T"
Ni 3.1558 4.7336 0.0000
Ga 1.5779 3.1558 0.0000
Ga 0.0000 4.7336 3.1558
Ni 0.0000 3.1558 1.5779
Ni 1.5779 0.0000 3.1558
Ga 4.7336 3.1558 0.0000
Hf 3.1558 3.1558 3.1558
Ga 0.0000 1.5779 3.1558
Ga 3.1558 0.0000 4.7336
Ni 3.1558 1.5779 0.0000
Ni 0.0000 3.1558 4.7336
Hf 0.0000 0.0000 0.0000
Ga 3.1558 0.0000 1.5779
Ni 4.7336 0.0000 3.1558

***

[9]
7
Lattice="3.7096 0.0000 0.0000 0.0000 3.7096 0.0000 0.0000 0.0000 6.7631" Properties=species:S:1:pos:R:3 comment="HfGaNi5 (GGA-PBE, relaxed)" sg="P4/mmm, No. 123" n_ef_per_ev_fu=4.31 pbc="T T T"
Ni 0.0000 1.8548 5.2463
Ga 1.8548 1.8548 0.0000
Ni 1.8548 0.0000 1.5168
Ni 1.8548 1.8548 3.3815
Ni 1.8548 0.0000 5.2463
Ni 0.0000 1.8548 1.5168
Hf 0.0000 0.0000 3.3815

***

[10]
5
Lattice="3.6450 0.0000 0.0000 0.0000 3.6450 0.0000 1.8225 1.8225 5.6421" Properties=species:S:1:pos:R:3 comment="HfGa2Ni2 (GGA-PBE, relaxed)" sg="I4/mmm, No. 139" n_ef_per_ev_fu=3.06 de_polymorph_mev_per_atom=57 pbc="T T T"
Hf 0.0000 0.0000 0.0000
Ni 3.6450 3.6450 4.4883
Ni 1.8225 1.8225 1.1538
Ga 3.6450 1.8225 2.8210
Ga 1.8225 3.6450 2.8210

***

[11]
8
Lattice="-0.9846 3.4299 1.3231 0.5753 -1.2090 3.5625 8.9201 3.9292 1.9258" Properties=species:S:1:pos:R:3 comment="HfGa2Ni (GGA-PBE, relaxed)" sg="I-42d, No. 122" n_ef_per_ev_fu=2.78 pbc="T T T"
Ga 2.4517 0.7072 2.8934
Ga 6.5453 3.7615 3.3302
Ga 1.7014 2.9231 1.7337
Ni 4.6454 1.9153 3.9655
Hf 0.0000 0.0000 0.0000
Ga 6.3233 4.9084 5.6654
Hf 3.8654 4.2348 2.8458
Ni -0.2046 1.1104 2.4428

***

[12]
4
Lattice="0.0000 3.1583 3.1583 3.1583 0.0000 3.1583 3.1583 3.1583 0.0000" Properties=species:S:1:pos:R:3 comment="HfGa2Ni (GGA-PBE, relaxed)" sg="Fm-3m, No. 225" n_ef_per_ev_fu=1.52 pbc="T T T"
Hf 3.1583 3.1583 3.1583
Ni 0.0000 0.0000 0.0000
Ga 1.5791 1.5791 1.5791
Ga 4.7374 4.7374 4.7374

***

[13]
12
Lattice="3.6949 0.0000 0.0000 0.0000 3.6949 0.0000 0.0000 0.0000 10.9433" Properties=species:S:1:pos:R:3 comment="Hf2GaNi9 (GGA-PBE, relaxed)" sg="P4/mmm, No. 123" n_ef_per_ev_fu=10.74 pbc="T T T"
Ni 1.8474 1.8474 3.5907
Ni 0.0000 1.8474 5.4717
Ni 1.8474 1.8474 0.0000
Hf 0.0000 0.0000 3.5793
Ni 1.8474 1.8474 7.3526
Ni 0.0000 1.8474 1.7150
Ga 0.0000 0.0000 0.0000
Hf 0.0000 0.0000 7.3641
Ni 1.8474 0.0000 5.4717
Ni 1.8474 0.0000 1.7150
Ni 0.0000 1.8474 9.2283
Ni 1.8474 0.0000 9.2283

***

[14]
22
Lattice="6.9809 0.0000 -2.4681 -3.4905 6.0457 -2.4681 0.0000 0.0000 7.4044" Properties=species:S:1:pos:R:3 comment="Hf3Ga2Ni6 (GGA-PBE, relaxed)" sg="Im-3m, No. 229" n_ef_per_ev_fu=9.78 pbc="T T T"
Ni 2.2883 3.9634 -0.9321
Ni 0.0000 4.1644 0.0000
Hf -2.5208 4.3662 3.5650
Ni -1.2022 2.0822 4.0041
Ni 2.4043 0.0000 4.0041
Ni 1.2022 2.0822 3.4003
Ni 0.1161 3.9634 -2.4681
Hf -0.9696 1.6794 1.3712
Ni 3.6065 2.0822 0.0000
Ga -1.7452 3.0228 -1.2341
Ni -0.1160 3.9634 2.4681
Ga 1.7452 3.0228 1.2341
Hf 1.9392 0.0000 1.3712
Hf 2.5208 4.3662 -3.5650
Ni 4.5766 0.0000 0.9321
Ni 3.3744 2.0822 -2.4681
Hf 5.0417 0.0000 3.5650
Hf 0.9696 1.6794 -1.3712
Ni -2.2883 3.9634 0.9321
Ga 0.0000 0.0000 3.7022
Ga 3.4905 0.0000 -1.2341
Ni 3.4905 1.8812 2.4681

***

[15]
19
Lattice="-3.7307 3.3896 -4.3448 1.5562 -5.7017 -3.0584 -4.1219 -1.6979 4.9409" Properties=species:S:1:pos:R:3 comment="HfGa6Ni12 (GGA-PBE, relaxed)" sg="R-3m, No. 166" n_ef_per_ev_fu=9.87 pbc="T T T"
Ga -2.7855 -2.1625 -3.8348
Ni -5.3353 -0.4628 1.8501
Ni -1.3830 -2.2757 0.1573
Ga -5.1646 -0.4850 -0.4832
Ga -1.1318 -3.5250 -1.9790
Ni -0.9611 -3.5472 -4.3123
Ni -3.2989 -3.9646 2.3456
Ni -2.9975 -0.0454 -4.8078
Hf 0.0000 0.0000 0.0000
Ga -3.5109 -1.8475 1.3726
Ni -2.6621 -0.0763 -0.1539
Ni -1.1117 -5.5069 -0.7356
Ni -5.0080 -2.9651 -0.3731
Ni -5.1847 1.4969 -1.7266
Ni -3.6343 -3.9337 -2.3084
Ni -1.2884 -1.0449 -2.0891
Ni -4.9134 -1.7343 -2.6196
Ga -3.3470 0.2841 -2.5180
Ga -2.9494 -4.2941 0.0557

***

[16]
10
Lattice="-6.3327 2.6959 -1.9137 -3.2978 -5.4434 3.2447 -0.0918 1.4773 2.3850" Properties=species:S:1:pos:R:3 comment="HfGa2Ni2 (GGA-PBE, relaxed)" sg="P4/mbm, No. 127" n_ef_per_ev_fu=3.55 de_polymorph_mev_per_atom=65 pbc="T T T"
Ga -7.0055 -2.0282 2.6383
Ga -6.4556 1.1613 0.6839
Hf 0.0000 0.0000 0.0000
Ni -7.5858 -1.0874 0.3814
Ni -2.0448 -1.6600 0.9495
Ga -3.2668 -2.4315 3.0321
Ni -5.2080 -3.7370 2.1142
Ga -2.7169 0.7581 1.0776
Hf -4.8153 -1.3737 0.6655
Ni -4.4225 0.9896 -0.7833

***

[17]
8
Lattice="3.7634 0.0000 0.0000 0.0000 3.8417 0.0000 0.0000 0.0000 10.1023" Properties=species:S:1:pos:R:3 comment="Hf4Ga3Ni (GGA-PBE, relaxed)" sg="Pmm2, No. 25" n_ef_per_ev_fu=6.01 pbc="T T T"
Ga 0.0000 1.9209 5.8538
Ni 1.8817 1.9209 0.8699
Hf 0.0000 0.0000 1.4027
Hf 1.8817 1.9209 3.4793
Hf 1.8817 0.0000 6.5682
Ga 1.8817 0.0000 9.3455
Ga 0.0000 0.0000 4.2297
Hf 0.0000 1.9209 8.6600

***

[18]
7
Lattice="-0.5091 4.5272 -0.4826 -2.7938 0.0728 3.6301 3.1154 3.2251 5.2238" Properties=species:S:1:pos:R:3 comment="HfGa2Ni4 (GGA-PBE, relaxed)" sg="I4/mmm, No. 139" n_ef_per_ev_fu=5.33 pbc="T T T"
Hf 0.0000 0.0000 0.0000
Ni -1.3969 0.0364 1.8150
Ni -1.4360 4.9623 4.5770
Ni -0.2545 2.2636 -0.2413
Ni 1.2486 2.8628 3.7943
Ga 0.4164 5.3218 5.9954
Ga -0.6039 2.5033 2.3759

***

[19]
19
Lattice="6.7249 0.0000 0.0000 -3.3624 6.4939 1.6251 0.0000 -0.4521 7.4231" Properties=species:S:1:pos:R:3 comment="Hf5Ga12Ni2 (GGA-PBE, relaxed)" sg="C2/m, No. 12" n_ef_per_ev_fu=11.75 pbc="T T T"
Ga -1.3145 3.9603 7.8076
Ga 3.3624 -0.1145 5.2507
Ni 4.6068 0.0000 0.0000
Ga 1.9730 1.8108 4.0151
Hf 3.3624 2.6742 6.3465
Ga -1.3894 4.2310 5.0332
Ga 3.3624 5.5028 7.8762
Hf 3.3624 4.1924 2.8092
Hf 0.0000 -0.2260 3.7116
Ga 4.7518 1.8108 4.0151
Ga 0.0000 6.1563 3.7976
Ga 2.0480 2.0815 1.2407
Hf 0.0000 1.8493 6.2390
Ga 0.0000 0.5390 1.1721
Hf 0.0000 3.3676 2.7018
Ga 1.3145 3.9603 7.8076
Ga 1.3894 4.2310 5.0332
Ga 4.6769 2.0815 1.2407
Ni 2.1181 0.0000 0.0000

***

[20]
10
Lattice="-0.0387 2.9991 5.6038 -0.0293 -5.6039 2.9990 4.2063 -0.0050 0.0317" Properties=species:S:1:pos:R:3 comment="Hf2Ga2Ni (GGA-PBE, relaxed)" sg="P4/mbm, No. 127" n_ef_per_ev_fu=1.15 de_polymorph_mev_per_atom=0 pbc="T T T"
Hf 2.0769 -3.2500 2.9869
Ga -0.0289 1.1335 4.0108
Hf 2.0854 0.0255 2.3722
Hf 2.0614 0.6402 5.6476
Ga -0.0521 -1.0118 6.7372
Hf 2.0529 -2.6353 6.2623
Ni 0.0000 0.0000 0.0000
Ga -0.0391 -3.7383 4.5920
Ni -0.0340 -1.3024 4.3014
Ga -0.0160 -1.5930 1.8655

***

Record-wise volume values, in Å³ per cell: 64.0 213.1 61.3 615.3 108.6 99.1 62.4 251.4 93.1 75.0 138.5 63.0 149.4 312.5 254.7 143.2 146.1 127.5 329.1 169.9
Record-wise ΔH_f (0 K) values, in meV per atom: -383 -440 -412 -543 131 -518 -430 360 -328 -377 -63 -210 -454 -533 -169 -369 -473 686 -246 -506